Record 1
VASP calculation (PBE) on a relaxed structure of Sm2ErNpS4.

POSCAR file:
```
Sm2ErNpS4
1.0
6.831 0.000 0.000
0.000 3.937 0.000
-2.265 0.000 6.476
Sm Er Np S
2 1 1 4
direct
0.000 0.000 0.000 Sm
0.500 0.500 0.000 Sm
0.000 0.500 0.500 Er
0.500 0.000 0.500 Np
0.244 0.000 0.739 S
0.252 0.500 0.260 S
0.748 0.500 0.740 S
0.756 0.000 0.261 S
```

Values from the calculation:
crystal system	monoclinic
total energy	-7.278	eV per atom
raw formation energy	-14.8	eV per formula unit

=====

Record 2
VASP calculation (PBE) on a relaxed structure of SmErIr2.

POSCAR file:
```
SmErIr2
1.0
0.000 3.452 3.452
3.452 0.000 3.452
3.452 3.452 0.000
Sm Er Ir
1 1 2
direct
0.000 0.000 0.000 Sm
0.500 0.500 0.500 Er
0.250 0.250 0.250 Ir
0.750 0.750 0.750 Ir
```

Values from the calculation:
crystal system	cubic
distance to the lowest polymorph of the same formula	5.1	meV per atom
total energy	-7.495	eV per atom
ΔE_f	-0.74	eV per atom

=====

Record 3
VASP calculation (PBE) on a relaxed structure of TbTm5Te2.

POSCAR file:
```
TbTm5Te2
1.0
-1.926 5.025 5.934
1.926 -5.025 5.934
1.926 5.025 -5.934
Tb Tm Te
1 5 2
direct
0.000 0.000 0.000 Tb
0.149 0.359 0.790 Tm
0.431 0.641 0.790 Tm
0.500 0.000 0.500 Tm
0.569 0.359 0.210 Tm
0.851 0.641 0.210 Tm
0.231 0.731 0.500 Te
0.769 0.269 0.500 Te
```

Values from the calculation:
crystal system	orthorhombic
total energy	-4.658	eV per atom
raw formation energy	-4.0	eV per formula unit

=====

Record 4
VASP calculation (PBE) on a relaxed structure of TeSI2F.

POSCAR file:
```
TeSI2F
1.0
5.367 0.000 0.000
0.000 5.367 0.000
0.000 0.000 5.388
Te S I F
1 1 2 1
direct
0.000 0.000 0.000 Te
0.000 0.000 0.500 S
0.000 0.500 0.500 I
0.500 0.000 0.500 I
0.500 0.500 0.000 F
```

Values from the calculation:
crystal system	tetragonal
distance to the lowest polymorph of the same formula	0.0	meV per atom
total energy	-2.105	eV per atom
raw formation energy	1.7	eV per formula unit

=====

It is found that the DOS(E_F) values, taken in the order of the records, are 11.00, 2.40, 7.98, 6.15 states/eV/cell.
It is found that the theoretical density values, taken in the order of the records, are 7.942, 14.176, 9.098, 4.626 Mg/m³.